# Ca3MoO6 PBE+U relaxed
data_Ca3MoO6
_cell_length_a 5.8408
_cell_length_b 5.8408
_cell_length_c 5.8408
_cell_angle_alpha 59.99
_cell_angle_beta 59.99
_cell_angle_gamma 59.99
_space_group_name_H-M_alt 'P 1'
_space_group_IT_number 1
loop_
_space_group_symop_operation_xyz
'x,y,z'
loop_
_atom_site_label
_atom_site_type_symbol
_atom_site_fract_x
_atom_site_fract_y
_atom_site_fract_z
Mo1 Mo 0.0000 0.0000 0.0000
Ca1 Ca 0.7500 0.7500 0.7500
Ca2 Ca 0.2500 0.2500 0.2500
Ca3 Ca 0.5000 0.5000 0.5000
O1 O 0.2334 0.7667 0.7667
O2 O 0.7667 0.2334 0.7667
O3 O 0.2333 0.7666 0.2333
O4 O 0.7667 0.7667 0.2334
O5 O 0.7666 0.2333 0.2333
O6 O 0.2333 0.2333 0.7666
# VASP energy: -0.2436 hartree per atom